Run A
A PBEsol-optimized structure of RuW2Cl. Source: Alexandria via LeMat-Bulk, functional SCAN.

Computed properties:
* magnetization: 0.00 μB per formula unit
* volume: 59.77 Å³/f.u.

a = 3.7732 Å, b = 3.7732 Å, c = 8.3962 Å
α = 90.00°, β = 90.00°, γ = 90.00°
Space group I-4m2 (No. 119)
Inequivalent atoms, fractional coordinates:
Ru1 0.0000 0.0000 0.0000 [2 per cell]
W1 0.0000 0.0000 0.5000 [2 per cell]
W2 0.0000 0.5000 0.2500 [2 per cell]
Cl1 0.0000 0.5000 0.7500 [2 per cell]

***

Run B
A PBEsol-optimized structure of RuW2Cl. Source: Alexandria via LeMat-Bulk, functional SCAN.

Computed properties:
* magnetization: 0.00 μB per formula unit
* volume: 59.96 Å³/f.u.

a = 5.1405 Å, b = 8.3309 Å, c = 2.8004 Å
α = 90.00°, β = 90.00°, γ = 90.00°
Space group Cmmm (No. 65)
Inequivalent atoms, fractional coordinates:
Ru1 0.0000 0.0000 0.0000 [2 per cell]
W1 0.2500 0.2500 0.5000 [4 per cell]
Cl1 0.0000 0.5000 0.0000 [2 per cell]

***

Computed stability ranking, most favorable first: run B, run A

***

Run A
A PBEsol-optimized structure of RuW2Cl. Source: Alexandria via LeMat-Bulk, functional SCAN.

Computed properties:
* magnetization: 0.00 μB per formula unit
* volume: 59.63 Å³/f.u.

a = 2.8485 Å, b = 2.8485 Å, c = 7.3488 Å
α = 90.00°, β = 90.00°, γ = 90.00°
Space group P4mm (No. 99)
Inequivalent atoms, fractional coordinates:
Ru1 0.0000 0.0000 0.0000 [1 per cell]
W1 0.0000 0.0000 0.5033 [1 per cell]
W2 0.5000 0.5000 0.2277 [1 per cell]
Cl1 0.5000 0.5000 0.7303 [1 per cell]

***

Run B
A PBEsol-optimized structure of RuW2Cl. Source: Alexandria via LeMat-Bulk, functional SCAN.

Computed properties:
* magnetization: 0.00 μB per formula unit
* volume: 57.86 Å³/f.u.

a = 2.8976 Å, b = 4.4654 Å, c = 8.9428 Å
α = 90.00°, β = 90.00°, γ = 90.00°
Space group Immm (No. 71)
Inequivalent atoms, fractional coordinates:
Ru1 0.0000 0.0000 0.0000 [2 per cell]
W1 0.0000 0.5000 0.2279 [4 per cell]
Cl1 0.0000 0.0000 0.5000 [2 per cell]

***

Computed stability ranking, most favorable first: run A, run B

***

Run A
A PBEsol-optimized structure of Ru2WCl. Source: Alexandria via LeMat-Bulk, functional SCAN.

Computed properties:
* magnetization: 0.00 μB per formula unit
* volume: 59.50 Å³/f.u.

a = 2.9421 Å, b = 4.7844 Å, c = 8.4532 Å
α = 90.00°, β = 90.00°, γ = 90.00°
Space group Cmmm (No. 65)
Inequivalent atoms, fractional coordinates:
Ru1 0.0000 0.0000 0.2470 [4 per cell]
W1 0.0000 0.5000 0.0000 [2 per cell]
Cl1 0.0000 0.5000 0.5000 [2 per cell]

***

Run B
A PBEsol-optimized structure of Ru2WCl. Source: Alexandria via LeMat-Bulk, functional SCAN.

Computed properties:
* magnetization: 0.00 μB per formula unit
* volume: 58.97 Å³/f.u.

a = 2.7636 Å, b = 2.7636 Å, c = 7.7214 Å
α = 90.00°, β = 90.00°, γ = 90.00°
Space group P4mm (No. 99)
Inequivalent atoms, fractional coordinates:
Ru1 0.0000 0.0000 0.0000 [1 per cell]
Ru2 0.5000 0.5000 0.2274 [1 per cell]
W1 0.0000 0.0000 0.4746 [1 per cell]
Cl1 0.5000 0.5000 0.6891 [1 per cell]

***

Computed stability ranking, most favorable first: run A, run B